(1)
# PBE BaLiSn2Te4, relaxed
# Uncorrected energy ... -3.78 eV/atom
data_BaLiSn2Te4
_chemical_formula_sum 'Ba4 Li4 Sn8 Te16'
_symmetry_space_group_name_H-M 'C m c m'
_symmetry_Int_Tables_number 63
_symmetry_space_group_name_Hall '-C 2c 2'
_cell_length_a 4.606
_cell_length_b 14.805
_cell_length_c 15.671
_cell_angle_alpha 90.00
_cell_angle_beta 90.00
_cell_angle_gamma 90.00
loop_
_atom_site_label
_atom_site_type_symbol
_atom_site_fract_x
_atom_site_fract_y
_atom_site_fract_z
Ba1 Ba 0.000 0.115 0.250
Li1 Li 0.000 0.153 0.750
Sn1 Sn 0.000 0.369 0.060
Te1 Te 0.000 0.000 0.000
Te2 Te 0.000 0.269 0.613
Te3 Te 0.000 0.440 0.250


(2)
# PBE LiNpAsO5, relaxed
# Uncorrected energy ... -7.66 eV/atom
data_LiNpAsO5
_chemical_formula_sum 'Li4 Np4 As4 O20'
_symmetry_space_group_name_H-M 'C 1 2/c 1'
_symmetry_Int_Tables_number 15
_symmetry_space_group_name_Hall '-C 2yc'
_cell_length_a 8.285
_cell_length_b 8.834
_cell_length_c 8.279
_cell_angle_alpha 90.00
_cell_angle_beta 119.85
_cell_angle_gamma 90.00
loop_
_atom_site_label
_atom_site_type_symbol
_atom_site_fract_x
_atom_site_fract_y
_atom_site_fract_z
Li1 Li 0.000 0.184 0.250
Np1 Np 0.000 0.500 0.000
As1 As 0.000 0.134 0.750
O1 O 0.000 0.464 0.750
O2 O 0.001 0.288 0.036
O3 O 0.178 0.000 0.341


(3)
# PBE TmAsBrO4, relaxed
# Uncorrected energy ... -6.29 eV/atom
data_TmAsBrO4
_chemical_formula_sum 'Tm4 As4 Br4 O16'
_symmetry_space_group_name_H-M 'C 1 2/m 1'
_symmetry_Int_Tables_number 12
_symmetry_space_group_name_Hall '-C 2y'
_cell_length_a 11.556
_cell_length_b 6.267
_cell_length_c 6.711
_cell_angle_alpha 90.00
_cell_angle_beta 102.53
_cell_angle_gamma 90.00
loop_
_atom_site_label
_atom_site_type_symbol
_atom_site_fract_x
_atom_site_fract_y
_atom_site_fract_z
Tm1 Tm 0.203 0.000 0.333
As1 As 0.135 0.000 0.764
Br1 Br 0.023 0.500 0.175
O1 O 0.014 0.000 0.268
O2 O 0.182 0.207 0.626
O3 O 0.204 0.000 0.012